The following is a GGA-PBE calculation of Tm5PuPb3 after structural relaxation, from Alexandria.

The structure in CIF format:
```
data_Tm5PuPb3
_chemical_formula_sum 'Tm10 Pu2 Pb6'
_symmetry_space_group_name_H-M 'P 1'
_symmetry_Int_Tables_number 1
_symmetry_space_group_name_Hall 'P 1'
_cell_length_a 6.488
_cell_length_b 9.360
_cell_length_c 9.361
_cell_angle_alpha 120.00
_cell_angle_beta 90.00
_cell_angle_gamma 90.00
loop_
_atom_site_label
_atom_site_type_symbol
_atom_site_fract_x
_atom_site_fract_y
_atom_site_fract_z
Tm1 Tm 0.000 0.667 0.333
Tm2 Tm 0.500 0.333 0.667
Tm3 Tm 0.000 0.333 0.667
Tm4 Tm 0.500 0.667 0.333
Tm5 Tm 0.750 0.682 0.682
Tm6 Tm 0.750 0.000 0.318
Tm7 Tm 0.750 0.318 0.000
Tm8 Tm 0.250 0.318 0.318
Tm9 Tm 0.250 0.000 0.682
Tm10 Tm 0.250 0.682 0.000
Pu1 Pu 0.000 0.000 0.000
Pu2 Pu 0.500 0.000 0.000
Pb1 Pb 0.750 0.347 0.347
Pb2 Pb 0.750 0.000 0.653
Pb3 Pb 0.750 0.653 0.000
Pb4 Pb 0.250 0.653 0.653
Pb5 Pb 0.250 0.000 0.347
Pb6 Pb 0.250 0.347 0.000
```

Calculated values
formation enthalpy at 0 K: -2.911 eV/f.u.
VASP energy: -5.64 eV per atom
N(E_F): 1.19 states/eV per atom
SG: P6_3/mcm, No. 193